Material: Be2CoIrO8
Method: DFT, GGA+U
State: optimized geometry

Properties
Symmetry: P-3m1, No. 164
Electronic total energy in eV per atom: -5.89
D(E_F) in states/eV/cell: 4.84
Calculated volume in Å³/f.u.: 121.73
Total magnetic moment in Bohr magnetons per cell: 1.69

Unit cell a=5.1859 b=5.1859 c=5.2265 alpha=90.00 beta=90.00 gamma=120.00
Closest atoms and distances in Å follow each position.
Atoms (fractional coordinates):
Be (0.6667, 0.3333, 0.3395)  4 O 1.63-1.64
Be (0.3333, 0.6667, 0.6605)  4 O 1.63-1.64
Co (0.0000, 0.0000, 0.5000)  6 O 1.91
Ir (0.0000, 0.0000, 0.0000)  6 O 1.95
O (0.8416, 0.1584, 0.2561)  1 Be 1.63
O (0.8416, 0.6832, 0.2561)  1 Be 1.63
O (0.3168, 0.1584, 0.2561)  1 Be 1.63
O (0.6832, 0.8416, 0.7439)  1 Be 1.63
O (0.3333, 0.6667, 0.3462)  1 Be 1.64
O (0.6667, 0.3333, 0.6538)  1 Be 1.64
O (0.1584, 0.8416, 0.7439)  1 Be 1.63
O (0.1584, 0.3168, 0.7439)  1 Be 1.63